VASP calculation (PBE+U) on K2YCrO4 after structural relaxation.

* space group: P2/m (10)
* energy: -0.2462 Ha/atom

The structure in POSCAR format:
```
K2YCrO4
1.0
5.691 0.000 0.000
0.000 3.327 0.000
-1.935 0.000 6.171
K Y Cr O
2 1 1 4
Direct
0.000 0.000 0.000 K
0.500 0.500 0.000 K
0.000 0.500 0.500 Y
0.500 0.000 0.500 Cr
0.249 0.000 0.683 O
0.294 0.500 0.323 O
0.706 0.500 0.677 O
0.751 0.000 0.317 O
```